Compound: Ho2Tm4MgSc
Source: Alexandria via LeMat-Bulk
Functional: PBE
Structure: relaxed

Cell and atoms, written as POSCAR:
```
Ho2Tm4MgSc
1.0
-1.1797 -2.3470 4.1013
-2.2786 -3.4291 -2.6178
5.9640 -8.5051 -3.1514
Ho Sc Mg Tm
2 1 1 4
Cartesian
2.3921 -5.4260 0.4749 Ho
-1.1797 -2.3470 4.1013 Ho
1.8427 -5.9671 -2.8846 Sc
-1.7292 -2.8880 0.7418 Mg
-0.7729 -5.8899 -0.7009 Tm
0.9529 -3.0016 -1.4435 Tm
3.2785 -8.3913 -0.9670 Tm
2.7324 -8.9326 -4.3256 Tm
```

Results
The theoretical density is 7.75 g cm⁻³. For the volume, the calculation gives 28.8 Å³ per atom. The formation energy from the elements comes out at 0.035 eV/atom. The space group is No. 123.

---

Compound: MgZr2In3
Source: Alexandria via LeMat-Bulk
Functional: PBE
Structure: relaxed

Cell and atoms, written as POSCAR:
```
MgZr2In3
1.0
5.7033 0.0330 -0.3058
0.0010 6.2791 0.6752
-3.2636 -0.8233 7.6607
In Zr Mg
6 4 2
Cartesian
0.8432 0.7727 7.5788 In
2.3317 1.0500 5.0032 In
0.1090 4.4387 3.0269 In
2.2429 4.1955 5.2870 In
0.1979 1.2933 2.7430 In
1.5976 4.7161 0.4513 In
-0.6051 2.5715 5.4695 Zr
3.0458 2.9173 2.5606 Zr
-0.6055 -0.5348 5.1355 Zr
3.0462 6.0235 2.8946 Zr
1.0961 3.9152 7.8849 Mg
1.3446 1.5736 0.1452 Mg
```

Results
The theoretical density is 6.75 g cm⁻³. For the volume, the calculation gives 22.6 Å³ per atom. The formation energy from the elements comes out at -0.188 eV/atom. The space group is No. 11.